(1)
! ScRu2Br GGA-PBE relaxed; values from VASP
! Space-group type = R-3m, No. 166
! Energy relative to the elements, uncorrected = 341 meV per atom
! N(E_F) = 11.9 states/eV per cell
! Polymorph energy (0 for the lowest one) = 40.73 kJ/mol of atoms
&SYSTEM
  ibrav = 0, nat = 12, ntyp = 3
/
ATOMIC_SPECIES
Sc 44.96 Sc.upf
Ru 101.07 Ru.upf
Br 79.90 Br.upf
CELL_PARAMETERS angstrom
3.0577 0.0000 0.0000
-1.5289 2.6481 0.0000
0.0000 0.0000 25.4461
ATOMIC_POSITIONS crystal
Sc 0.0000 0.0000 0.0000
Sc 0.3333 0.6667 0.6667
Sc 0.6667 0.3333 0.3333
Ru 0.0000 0.0000 0.2498
Ru 0.0000 0.0000 0.7502
Ru 0.3333 0.6667 0.4169
Ru 0.3333 0.6667 0.9164
Ru 0.6667 0.3333 0.0836
Ru 0.6667 0.3333 0.5831
Br 0.0000 0.0000 0.5000
Br 0.3333 0.6667 0.1667
Br 0.6667 0.3333 0.8333


(2)
! La8Tl2Pb GGA-PBE relaxed; values from VASP
! Space-group type = Immm, No. 71
! N(E_F) = 15.8 states/eV per cell
! Formation enthalpy at 0 K = -0.2364 eV per atom
! Polymorph energy (0 for the lowest one) = 3.77 kJ/mol of atoms
&SYSTEM
  ibrav = 0, nat = 11, ntyp = 3
/
ATOMIC_SPECIES
La 138.91 La.upf
Tl 204.38 Tl.upf
Pb 207.20 Pb.upf
CELL_PARAMETERS angstrom
-2.7502 4.3109 7.8623
2.7502 -4.3109 7.8623
2.7502 4.3109 -7.8623
ATOMIC_POSITIONS crystal
La 0.1231 0.3446 0.7786
La 0.1314 0.1314 0.0000
La 0.2978 0.0000 0.2978
La 0.4340 0.6554 0.7786
La 0.5660 0.3446 0.2214
La 0.7022 0.0000 0.7022
La 0.8686 0.8686 0.0000
La 0.8769 0.6554 0.2214
Tl 0.3066 0.8066 0.5000
Tl 0.6934 0.1934 0.5000
Pb 0.0000 0.5000 0.5000


(3)
! Pu2ZnCd GGA-PBE relaxed; values from VASP
! Space-group type = P4/mmm, No. 123
! N(E_F) = 13.1 states/eV per cell
! Formation enthalpy at 0 K = 0.0295 eV per atom
! Polymorph energy (0 for the lowest one) = 0.00 kJ/mol of atoms
&SYSTEM
  ibrav = 0, nat = 4, ntyp = 3
/
ATOMIC_SPECIES
Pu 244.00 Pu.upf
Zn 65.41 Zn.upf
Cd 112.41 Cd.upf
CELL_PARAMETERS angstrom
3.9258 0.0000 0.0000
0.0000 3.9258 0.0000
0.0000 0.0000 6.2901
ATOMIC_POSITIONS crystal
Pu 0.0000 0.0000 0.2373
Pu 0.0000 0.0000 0.7627
Zn 0.5000 0.5000 0.0000
Cd 0.5000 0.5000 0.5000